#P
# GGA-PBE HgHRh, optimized geometry
data_HgHRh
_cell_length_a 2.8260
_cell_length_b 2.8260
_cell_length_c 5.3812
_cell_angle_alpha 105.22
_cell_angle_beta 105.22
_cell_angle_gamma 90.00
_symmetry_space_group_name_H-M 'P 1'
_symmetry_Int_Tables_number 1
loop_
_symmetry_equiv_pos_as_xyz
'x,y,z'
loop_
_atom_site_label
_atom_site_type_symbol
_atom_site_fract_x
_atom_site_fract_y
_atom_site_fract_z
H1 H 0.2594 0.2594 0.5188
Rh1 Rh 0.7322 0.7322 0.4643
Hg1 Hg 0.0084 0.0084 0.0169
# Volume, Å³/cell: 39.9
# Magnetic moment, Bohr magnetons per cell: 0.00
# Symmetry: I4mm (107)

#Q
# GGA-PBE HgHRh, optimized geometry
data_HgHRh
_cell_length_a 3.1597
_cell_length_b 5.6403
_cell_length_c 9.0968
_cell_angle_alpha 90.00
_cell_angle_beta 90.01
_cell_angle_gamma 90.00
_symmetry_space_group_name_H-M 'P 1'
_symmetry_Int_Tables_number 1
loop_
_symmetry_equiv_pos_as_xyz
'x,y,z'
loop_
_atom_site_label
_atom_site_type_symbol
_atom_site_fract_x
_atom_site_fract_y
_atom_site_fract_z
Hg1 Hg 0.2506 0.1516 0.6439
Hg2 Hg 0.2506 0.3484 0.1439
Hg3 Hg 0.7494 0.8484 0.3561
Hg4 Hg 0.7494 0.6516 0.8561
H1 H 0.2503 0.0272 0.9269
H2 H 0.2503 0.4728 0.4269
H3 H 0.7497 0.9728 0.0731
H4 H 0.7497 0.5272 0.5731
Rh1 Rh 0.2498 0.6616 0.5970
Rh2 Rh 0.2498 0.8384 0.0970
Rh3 Rh 0.7502 0.3384 0.4029
Rh4 Rh 0.7502 0.1616 0.9030
# Volume, Å³/cell: 162.1
# Magnetic moment, Bohr magnetons per cell: 0.00
# Symmetry: Pnma (62)

Stability summary: most stable #Q, least stable #P.

#P
# GGA-PBE HgH2Ru, optimized geometry
data_HgH2Ru
_cell_length_a 3.8989
_cell_length_b 3.8989
_cell_length_c 3.8989
_cell_angle_alpha 60.00
_cell_angle_beta 60.00
_cell_angle_gamma 60.00
_symmetry_space_group_name_H-M 'P 1'
_symmetry_Int_Tables_number 1
loop_
_symmetry_equiv_pos_as_xyz
'x,y,z'
loop_
_atom_site_label
_atom_site_type_symbol
_atom_site_fract_x
_atom_site_fract_y
_atom_site_fract_z
Ru1 Ru 0.0000 0.0000 0.0000
Hg1 Hg 0.5000 0.5000 0.5000
H1 H 0.2500 0.2500 0.2500
H2 H 0.7500 0.7500 0.7500
# Volume, Å³/cell: 41.9
# Magnetic moment, Bohr magnetons per cell: 0.00
# Symmetry: Fm-3m (225)

#Q
# GGA-PBE HgH2Ru, optimized geometry
data_HgH2Ru
_cell_length_a 3.0524
_cell_length_b 3.0524
_cell_length_c 5.5931
_cell_angle_alpha 74.17
_cell_angle_beta 74.17
_cell_angle_gamma 60.00
_symmetry_space_group_name_H-M 'P 1'
_symmetry_Int_Tables_number 1
loop_
_symmetry_equiv_pos_as_xyz
'x,y,z'
loop_
_atom_site_label
_atom_site_type_symbol
_atom_site_fract_x
_atom_site_fract_y
_atom_site_fract_z
Hg1 Hg 0.4953 0.4953 0.5140
H1 H 0.0345 0.0345 0.8965
H2 H 0.2975 0.2975 0.1075
Ru1 Ru 0.6727 0.6727 0.9819
# Volume, Å³/cell: 42.8
# Magnetic moment, Bohr magnetons per cell: 0.00
# Symmetry: R3m (160)

Stability summary: most stable #Q, least stable #P.

#P
# GGA-PBE HgH3S, optimized geometry
data_HgH3S
_cell_length_a 3.8493
_cell_length_b 3.8493
_cell_length_c 3.8493
_cell_angle_alpha 90.00
_cell_angle_beta 90.00
_cell_angle_gamma 90.00
_symmetry_space_group_name_H-M 'P 1'
_symmetry_Int_Tables_number 1
loop_
_symmetry_equiv_pos_as_xyz
'x,y,z'
loop_
_atom_site_label
_atom_site_type_symbol
_atom_site_fract_x
_atom_site_fract_y
_atom_site_fract_z
H1 H 0.0000 0.5000 0.0000
H2 H 0.0000 0.0000 0.5000
H3 H 0.5000 0.0000 0.0000
S1 S 0.5000 0.5000 0.5000
Hg1 Hg 0.0000 0.0000 0.0000
# Volume, Å³/cell: 57.0
# Magnetic moment, Bohr magnetons per cell: 0.00
# Symmetry: Pm-3m (221)

#Q
# GGA-PBE HgH3S, optimized geometry
data_HgH3S
_cell_length_a 3.7651
_cell_length_b 3.7651
_cell_length_c 3.7651
_cell_angle_alpha 90.00
_cell_angle_beta 90.00
_cell_angle_gamma 90.00
_symmetry_space_group_name_H-M 'P 1'
_symmetry_Int_Tables_number 1
loop_
_symmetry_equiv_pos_as_xyz
'x,y,z'
loop_
_atom_site_label
_atom_site_type_symbol
_atom_site_fract_x
_atom_site_fract_y
_atom_site_fract_z
H1 H 0.0000 0.5000 0.0000
H2 H 0.0000 0.0000 0.5000
H3 H 0.5000 0.0000 0.0000
S1 S 0.0000 0.0000 0.0000
Hg1 Hg 0.5000 0.5000 0.5000
# Volume, Å³/cell: 53.4
# Magnetic moment, Bohr magnetons per cell: 0.00
# Symmetry: Pm-3m (221)

Stability summary: most stable #Q, least stable #P.